No. 1
K2ZnW after structural relaxation. Source: the Alexandria database, functional PBE.

The structure belongs to space group Cm (No. 8); the cell edges are 9.1991, 2.8207 and 9.9772 Å and the angles 90.00°, 92.16° and 90.00°. The distinct sites, in fractional coordinates, are K at (0.0000, 0.0000, 0.0000), K at (0.2337, 0.0000, 0.5746), Zn at (0.2402, 0.5000, 0.2425) and W at (0.4753, 0.0000, 0.3215).

=====

No. 2
BaSnH2Rh2 after structural relaxation. Source: the Alexandria database, functional PBE.

The structure belongs to space group P2_1/m (No. 11); the cell edges are 4.7462, 5.8382 and 7.9580 Å and the angles 90.00°, 97.26° and 90.00°. The distinct sites, in fractional coordinates, are Ba at (0.2477, 0.2500, 0.3791), Sn at (0.2026, 0.7500, 0.0946), H at (0.1877, 0.2500, 0.7015), H at (0.2733, 0.7500, 0.7265) and Rh at (0.2895, 0.0170, 0.8341).

=====

The records above yield raw total energy values of -0.2272 -0.3631 Ry per atom, respectively.